Record 1
First-principles (PBE-GGA) data for ErTm3Pd4 after structural relaxation, as listed in the Open Quantum Materials Database.

DFT formation energy (meV/atom): -964
Mass density (g/cm3): 10.68

a b c (Å): 5.541 4.527 6.814
angles (deg): 90.00 90.12 90.00
Space group Pm (No. 6)
Asymmetric unit:
Er1 0.000 0.000 0.000 (multiplicity 1)
Tm1 0.288 0.500 0.365 (multiplicity 1)
Tm2 0.500 0.500 0.865 (multiplicity 1)
Tm3 0.787 0.000 0.500 (multiplicity 1)
Pd1 0.300 0.000 0.641 (multiplicity 1)
Pd2 0.488 0.000 0.142 (multiplicity 1)
Pd3 0.799 0.500 0.225 (multiplicity 1)
Pd4 0.988 0.500 0.722 (multiplicity 1)

---

Record 2
First-principles (PBE-GGA) data for ErTmPd after structural relaxation, as listed in the Open Quantum Materials Database.

DFT formation energy (meV/atom): -659
Mass density (g/cm3): 10.09

a b c (Å): 6.998 4.818 8.646
angles (deg): 90.00 90.00 90.00
Space group Pnma (No. 62)
Asymmetric unit:
Er1 0.145 0.250 0.080 (multiplicity 4)
Tm1 0.016 0.250 0.672 (multiplicity 4)
Pd1 0.240 0.250 0.405 (multiplicity 4)

---

Record 3
First-principles (PBE-GGA) data for Er3TmPd4 after structural relaxation, as listed in the Open Quantum Materials Database.

DFT formation energy (meV/atom): -959
Mass density (g/cm3): 10.58

a b c (Å): 5.538 4.538 6.846
angles (deg): 90.00 90.12 90.00
Space group Pm (No. 6)
Asymmetric unit:
Er1 0.000 0.000 0.000 (multiplicity 1)
Er2 0.211 0.000 0.500 (multiplicity 1)
Er3 0.711 0.500 0.635 (multiplicity 1)
Tm1 0.500 0.500 0.135 (multiplicity 1)
Pd1 0.012 0.500 0.275 (multiplicity 1)
Pd2 0.199 0.500 0.777 (multiplicity 1)
Pd3 0.512 0.000 0.861 (multiplicity 1)
Pd4 0.697 0.000 0.357 (multiplicity 1)

---

What is the mass density in the first record?
10.68 g/cm3

---

Which of these has the lowest DFT formation energy?
ErTm3Pd4

---

What is the formula in the first record?
ErTm3Pd4